# 1
## BaLa2Tc (PBE-GGA)

Data for a relaxed BaLa2Tc crystal.

Properties
- energy relative to the elements (meV per atom) = 732.3

Cell: 6.587 6.587 3.515 Å, 74.86 74.86 115.45°
Site moments in Bohr magnetons follow the coordinates.
Fractional coordinates of all 4 atoms:
Ba 0.000 0.500 0.500  -0.04
La 0.000 0.000 0.000  -0.07
La 0.500 0.500 0.000  -0.07
Tc 0.500 0.000 0.500  0.89

=====

# 2
## BaLa2Tc (PBE-GGA)

Data for a relaxed BaLa2Tc crystal.

Properties
- energy relative to the elements (meV per atom) = 604.1

Cell: 5.138 4.949 6.817 Å, 43.19 90.00 90.00°
Fractional coordinates of all 4 atoms:
Ba 0.000 0.000 0.500
La 0.000 0.000 0.000
La 0.500 0.500 0.000
Tc 0.500 0.500 0.500

=====

# 3
## BaLaTc (PBE-GGA)

Data for a relaxed BaLaTc crystal.

Properties
- energy relative to the elements (meV per atom) = 603.8

Cell: 5.114 5.114 5.114 Å, 60.00 60.00 60.00°
Fractional coordinates of all 3 atoms:
Ba 0.000 0.000 0.000
La 0.500 0.500 0.500
Tc 0.750 0.750 0.750

=====

# 4
## BaLaTc2 (PBE-GGA)

Data for a relaxed BaLaTc2 crystal.

Properties
- energy relative to the elements (meV per atom) = 189.0

Cell: 8.897 8.897 8.897 Å, 27.19 27.19 27.19°
Site moments in Bohr magnetons follow the coordinates.
Fractional coordinates of all 4 atoms:
Ba 0.530 0.530 0.530  0.05
La 0.712 0.712 0.712  0.10
Tc 0.970 0.970 0.970  0.02
Tc 0.289 0.289 0.289  0.05

=====

# 5
## BaLaTc2 (PBE-GGA)

Data for a relaxed BaLaTc2 crystal.

Properties
- energy relative to the elements (meV per atom) = 389.3

Cell: 7.086 7.086 7.086 Å, 148.26 138.71 52.99°
Fractional coordinates of all 4 atoms:
Ba 0.469 0.469 0.000
La 0.738 0.238 0.500
Tc 0.095 0.095 0.000
Tc 0.198 0.698 0.500

=====

# 6
## BaLaTc (PBE-GGA)

Data for a relaxed BaLaTc crystal.

Properties
- energy relative to the elements (meV per atom) = 419.4

Cell: 7.955 7.822 3.640 Å, 78.71 74.63 26.66°
Fractional coordinates of all 3 atoms:
Ba 0.036 0.036 0.964
La 0.283 0.283 0.717
Tc 0.681 0.681 0.319

=====

# 7
## BaLaTc2 (PBE-GGA)

Data for a relaxed BaLaTc2 crystal.

Properties
- energy relative to the elements (meV per atom) = 625.5

Cell: 4.770 3.402 7.128 Å, 80.81 90.00 90.00°
Fractional coordinates of all 4 atoms:
Ba 0.500 0.250 0.250
La 0.500 0.750 0.750
Tc 0.000 0.036 0.891
Tc 0.000 0.464 0.609

=====

# 8
## BaLaTc2 (PBE-GGA)

Data for a relaxed BaLaTc2 crystal.

Properties
- energy relative to the elements (meV per atom) = 1021.7

Cell: 5.949 5.949 5.949 Å, 138.34 138.34 60.38°
Site moments in Bohr magnetons follow the coordinates.
Fractional coordinates of all 4 atoms:
Ba 0.500 0.500 0.000  -0.01
La 0.750 0.250 0.500  -0.01
Tc 0.000 0.000 0.000  0.09
Tc 0.250 0.750 0.500  0.27

=====

# 9
## BaLaTc2 (PBE-GGA)

Data for a relaxed BaLaTc2 crystal.

Properties
- energy relative to the elements (meV per atom) = 947.1

Cell: 5.048 5.048 5.048 Å, 60.00 60.00 60.00°
Fractional coordinates of all 4 atoms:
Ba 0.500 0.500 0.500
La 0.750 0.750 0.750
Tc 0.000 0.000 0.000
Tc 0.250 0.250 0.250

=====

# 10
## BaLa3Tc (PBE-GGA)

Data for a relaxed BaLa3Tc crystal.

Properties
- energy relative to the elements (meV per atom) = 33.7

Cell: 5.720 5.720 5.720 Å, 90.00 90.00 90.00°
Fractional coordinates of all 5 atoms:
Tc 0.000 0.000 0.000
Ba 0.500 0.500 0.500
La 0.000 0.500 0.000
La 0.000 0.000 0.500
La 0.500 0.000 0.000

=====

# 11
## BaLa2Tc (PBE-GGA)

Data for a relaxed BaLa2Tc crystal.

Properties
- energy relative to the elements (meV per atom) = 174.5

Cell: 3.820 4.570 9.076 Å, 75.45 90.00 90.00°
Fractional coordinates of all 4 atoms:
Ba 0.500 0.580 0.714
La 0.000 0.898 0.077
La 0.500 0.256 0.363
Tc 0.000 0.765 0.345

=====

# 12
## BaLaTc2 (PBE-GGA)

Data for a relaxed BaLaTc2 crystal.

Properties
- energy relative to the elements (meV per atom) = 371.5

Cell: 4.084 3.342 8.936 Å, 73.81 90.00 90.00°
Fractional coordinates of all 4 atoms:
Ba 0.000 0.472 0.422
La 0.500 0.760 0.858
Tc 0.000 0.011 0.066
Tc 0.500 0.257 0.154

=====

# 13
## BaLa2Tc (PBE-GGA)

Data for a relaxed BaLa2Tc crystal.

Properties
- energy relative to the elements (meV per atom) = 248.8

Cell: 8.689 8.689 8.689 Å, 156.06 147.11 41.09°
Fractional coordinates of all 4 atoms:
Ba 0.330 0.830 0.500
La 0.000 0.000 0.000
La 0.650 0.150 0.500
Tc 0.520 0.520 0.000

=====

# 14
## BaLaTc2 (PBE-GGA)

Data for a relaxed BaLaTc2 crystal.

Properties
- energy relative to the elements (meV per atom) = 993.1

Cell: 5.171 5.171 3.657 Å, 90.00 90.00 90.01°
Site moments in Bohr magnetons follow the coordinates.
Fractional coordinates of all 4 atoms:
Ba 0.500 0.000 0.500  0.02
La 0.000 0.500 0.500  -0.06
Tc 0.000 0.000 0.000  1.08
Tc 0.500 0.500 0.000  1.08

=====

# 15
## BaLaTc2 (PBE-GGA)

Data for a relaxed BaLaTc2 crystal.

Properties
- energy relative to the elements (meV per atom) = 424.3

Cell: 3.427 3.650 9.293 Å, 90.00 90.00 90.00°
Fractional coordinates of all 4 atoms:
Ba 0.000 0.000 0.433
La 0.500 0.500 0.841
Tc 0.000 0.000 0.088
Tc 0.500 0.500 0.137

=====

# 16
## BaLaTc2 (PBE-GGA)

Data for a relaxed BaLaTc2 crystal.

Properties
- energy relative to the elements (meV per atom) = 908.8

Cell: 5.118 5.118 10.012 Å, 75.19 75.19 90.00°
Fractional coordinates of all 8 atoms:
Tc 0.877 0.125 0.250
Tc 0.873 0.625 0.250
Tc 0.375 0.123 0.750
Tc 0.875 0.127 0.750
Ba 0.500 0.500 0.000
Ba 0.250 0.750 0.500
La 0.000 0.000 0.000
La 0.750 0.250 0.500

=====

# 17
## BaLa2YTc (PBE-GGA)

Data for a relaxed BaLa2YTc crystal.

Properties
- energy relative to the elements (meV per atom) = 35.5

Cell: 5.593 5.593 5.784 Å, 90.00 90.00 90.00°
Fractional coordinates of all 5 atoms:
Tc 0.000 0.000 0.000
Y 0.000 0.000 0.500
Ba 0.500 0.500 0.500
La 0.000 0.500 0.000
La 0.500 0.000 0.000

=====

# 18
## BaLa2YTc (PBE-GGA)

Data for a relaxed BaLa2YTc crystal.

Properties
- energy relative to the elements (meV per atom) = 871.4

Cell: 6.091 4.986 6.091 Å, 90.00 90.00 90.00°
Site moments in Bohr magnetons follow the coordinates.
Fractional coordinates of all 5 atoms:
Tc 0.000 0.500 0.000  -0.15
Y 0.000 0.000 0.000  0.14
Ba 0.500 0.500 0.500  0.02
La 0.000 0.000 0.500  0.15
La 0.500 0.000 0.000  0.07

=====

# 19
## BaLaY2Tc (PBE-GGA)

Data for a relaxed BaLaY2Tc crystal.

Properties
- energy relative to the elements (meV per atom) = 49.5

Cell: 5.662 5.662 5.485 Å, 90.00 90.00 90.00°
Fractional coordinates of all 5 atoms:
Tc 0.000 0.000 0.000
Y 0.000 0.500 0.000
Y 0.500 0.000 0.000
Ba 0.500 0.500 0.500
La 0.000 0.000 0.500

=====

# 20
## BaLa2ZnTc (PBE-GGA)

Data for a relaxed BaLa2ZnTc crystal.

Properties
- energy relative to the elements (meV per atom) = 50.3

Cell: 5.422 5.422 5.416 Å, 90.00 90.00 90.00°
Fractional coordinates of all 5 atoms:
Tc 0.000 0.000 0.000
Zn 0.000 0.000 0.500
Ba 0.500 0.500 0.500
La 0.000 0.500 0.000
La 0.500 0.000 0.000

=====

# 21
## BaLa2ZrTc (PBE-GGA)

Data for a relaxed BaLa2ZrTc crystal.

Properties
- energy relative to the elements (meV per atom) = 1488.6

Cell: 5.582 5.942 5.582 Å, 90.00 90.00 90.00°
Site moments in Bohr magnetons follow the coordinates.
Fractional coordinates of all 5 atoms:
Tc 0.500 0.500 0.500  0.17
Ba 0.000 0.500 0.000  -0.04
Zr 0.000 0.000 0.000  0.13
La 0.000 0.000 0.500  0.04
La 0.500 0.000 0.000  0.05

=====

# 22
## BaLa2Te (PBE-GGA)

Data for a relaxed BaLa2Te crystal.

Properties
- final energy (eV for the cell shown) = -16.93

Cell: 5.160 5.119 5.119 Å, 90.00 90.00 90.00°
Fractional coordinates of all 4 atoms:
Ba 0.500 0.000 0.500
La 0.000 0.000 0.000
La 0.000 0.500 0.500
Te 0.500 0.500 0.000

=====

# 23
## BaLaTe2 (PBE-GGA)

Data for a relaxed BaLaTe2 crystal.

Properties
- final energy (eV for the cell shown) = -18.04

Cell: 7.549 7.549 7.549 Å, 143.72 143.72 52.24°
Site moments in Bohr magnetons follow the coordinates.
Fractional coordinates of all 4 atoms:
Ba 0.500 0.500 0.000  0.04
La 0.750 0.250 0.500  0.13
Te 0.000 0.000 0.000  -0.01
Te 0.250 0.750 0.500  -0.01

=====

# 24
## BaLaTe3 (PBE-GGA)

Data for a relaxed BaLaTe3 crystal.

Properties
- final energy (eV for the cell shown) = -17.75

Cell: 6.185 6.185 6.185 Å, 90.00 90.00 90.00°
Fractional coordinates of all 5 atoms:
Te 0.000 0.500 0.000
Te 0.000 0.000 0.500
Te 0.500 0.000 0.000
Ba 0.000 0.000 0.000
La 0.500 0.500 0.500

=====

# 25
## BaLa2Te (PBE-GGA)

Data for a relaxed BaLa2Te crystal.

Properties
- final energy (eV for the cell shown) = -15.86

Cell: 5.874 5.874 5.874 Å, 60.00 60.00 60.00°
Site moments in Bohr magnetons follow the coordinates.
Fractional coordinates of all 4 atoms:
Ba 0.500 0.500 0.500  0.11
La 0.000 0.000 0.000  0.32
La 0.250 0.250 0.250  0.54
Te 0.750 0.750 0.750  -0.01

=====

# 26
## BaLa2Te (PBE-GGA)

Data for a relaxed BaLa2Te crystal.

Properties
- final energy (eV for the cell shown) = -16.98

Cell: 6.087 4.222 5.925 Å, 85.13 90.00 90.00°
Fractional coordinates of all 4 atoms:
Ba 0.500 0.750 0.750
La 0.000 0.088 0.033
La 0.000 0.412 0.467
Te 0.500 0.250 0.250

=====

# 27
## BaLa2Te4 (PBE-GGA)

Data for a relaxed BaLa2Te4 crystal.

Properties
- final energy (eV for the cell shown) = -143.72

Cell: 4.752 13.314 16.921 Å, 90.00 90.00 90.00°
Fractional coordinates of all 28 atoms:
Ba 0.250 0.737 0.341
Ba 0.750 0.263 0.659
Ba 0.250 0.237 0.159
Ba 0.750 0.763 0.841
La 0.750 0.106 0.901
La 0.250 0.894 0.099
La 0.750 0.606 0.599
La 0.250 0.394 0.401
La 0.250 0.439 0.894
La 0.750 0.561 0.106
La 0.250 0.939 0.606
La 0.750 0.061 0.394
Te 0.750 0.061 0.087
Te 0.250 0.939 0.913
Te 0.750 0.561 0.413
Te 0.250 0.439 0.587
Te 0.750 0.004 0.719
Te 0.250 0.996 0.281
Te 0.750 0.504 0.781
Te 0.250 0.496 0.219
Te 0.750 0.346 0.010
Te 0.250 0.654 0.990
Te 0.750 0.846 0.490
Te 0.250 0.154 0.510
Te 0.250 0.226 0.812
Te 0.750 0.774 0.188
Te 0.250 0.726 0.688
Te 0.750 0.274 0.312

=====

# 28
## BaLaTe2 (PBE-GGA)

Data for a relaxed BaLaTe2 crystal.

Properties
- final energy (eV for the cell shown) = -39.42

Cell: 4.687 4.687 16.141 Å, 90.00 90.00 120.00°
Fractional coordinates of all 8 atoms:
Ba 0.667 0.333 0.250
Ba 0.333 0.667 0.750
La 0.000 0.000 0.500
La 0.000 0.000 0.000
Te 0.333 0.667 0.387
Te 0.667 0.333 0.887
Te 0.667 0.333 0.613
Te 0.333 0.667 0.113